*P*
The following is a DFT calculation (PBE-GGA) of crystalline LiTcBi3 at its relaxed geometry.

Computed properties:
Calculated volume (Å³ per cell): 132.29
SG: No. 221
Total moment (μB per formula unit): 3.120

Cell lengths 5.0954, 5.0954, 5.0954 Å; angles 90.00, 90.00, 90.00 degrees
Fractional positions:
1 Li 0.0000 0.0000 0.0000
2 Tc 0.5000 0.5000 0.5000
3 Bi 0.0000 0.0000 0.5000
4 Bi 0.0000 0.5000 0.0000
5 Bi 0.5000 0.0000 0.0000

*Q*
The following is a DFT calculation (PBE-GGA) of crystalline LiTcBi3 at its relaxed geometry.

Computed properties:
Calculated volume (Å³ per cell): 157.19
SG: No. 221
Total moment (μB per formula unit): 1.004

Cell lengths 5.3968, 5.3968, 5.3968 Å; angles 90.00, 90.00, 90.00 degrees
Fractional positions:
1 Li 0.0000 0.0000 0.0000
2 Tc 0.5000 0.5000 0.5000
3 Bi 0.0000 0.5000 0.5000
4 Bi 0.5000 0.0000 0.5000
5 Bi 0.5000 0.5000 0.0000

Most stable = *Q*

*P*
The following is a DFT calculation (PBE-GGA) of crystalline LiTcBi2 at its relaxed geometry.

Computed properties:
Calculated volume (Å³ per cell): 94.24
SG: No. 166
Total moment (μB per formula unit): 1.546

Cell lengths 10.3236, 10.3236, 10.3236 Å; angles 18.25, 18.25, 18.25 degrees
Fractional positions:
1 Li 0.0000 0.0000 0.0000
2 Tc 0.5000 0.5000 0.5000
3 Bi 0.4101 0.4101 0.4101
4 Bi 0.5899 0.5899 0.5899

*Q*
The following is a DFT calculation (PBE-GGA) of crystalline LiTcBi2 at its relaxed geometry.

Computed properties:
Calculated volume (Å³ per cell): 82.07
SG: No. 225
Total moment (μB per formula unit): 0.000

Cell lengths 4.8780, 4.8780, 4.8780 Å; angles 60.00, 60.00, 60.00 degrees
Fractional positions:
1 Li 0.0000 0.0000 0.0000
2 Tc 0.5000 0.5000 0.5000
3 Bi 0.2500 0.2500 0.2500
4 Bi 0.7500 0.7500 0.7500

*R*
The following is a DFT calculation (PBE-GGA) of crystalline LiTcBi2 at its relaxed geometry.

Computed properties:
Calculated volume (Å³ per cell): 257.62
SG: No. 122
Total moment (μB per formula unit): 0.000

Cell lengths 7.4024, 7.4024, 7.4024 Å; angles 125.78, 125.78, 80.25 degrees
Fractional positions:
1 Li 0.0000 0.0000 0.0000
2 Li 0.7500 0.2500 0.5000
3 Tc 0.2500 0.7500 0.5000
4 Tc 0.5000 0.5000 0.0000
5 Bi 0.1588 0.6250 0.0338
6 Bi 0.3750 0.4088 0.5338
7 Bi 0.5912 0.1250 0.9662
8 Bi 0.8750 0.8412 0.4662

Most stable = *Q*

*P*
The following is a DFT calculation (PBE-GGA) of crystalline LiBi3Te4 at its relaxed geometry.

Computed properties:
Calculated volume (Å³ per cell): 261.68
SG: No. 65
Total moment (μB per formula unit): 0.000

Cell lengths 7.7269, 7.7269, 4.6811 Å; angles 90.00, 90.00, 110.56 degrees
Fractional positions:
1 Li 0.0000 0.0000 0.0000
2 Bi 0.0000 0.5000 0.5000
3 Bi 0.5000 0.0000 0.5000
4 Bi 0.5000 0.5000 0.0000
5 Te 0.2464 0.2464 0.5000
6 Te 0.2478 0.7522 0.0000
7 Te 0.7522 0.2478 0.0000
8 Te 0.7536 0.7536 0.5000

*Q*
The following is a DFT calculation (PBE-GGA) of crystalline LiBi3Te4 at its relaxed geometry.

Computed properties:
Calculated volume (Å³ per cell): 620.04
SG: No. 31
Total moment (μB per formula unit): 0.000

Cell lengths 10.2668, 9.3386, 6.4669 Å; angles 90.00, 90.00, 90.00 degrees
Fractional positions:
1 Li 0.0000 0.2095 0.0000
2 Li 0.5000 0.7905 0.5000
3 Bi 0.0000 0.8767 0.5299
4 Bi 0.2216 0.6703 0.0241
5 Bi 0.2784 0.3297 0.5241
6 Bi 0.5000 0.1233 0.0299
7 Bi 0.7216 0.3297 0.5241
8 Bi 0.7784 0.6703 0.0241
9 Te 0.0000 0.2203 0.5285
10 Te 0.0000 0.8901 0.0339
11 Te 0.2296 0.6714 0.5225
12 Te 0.2704 0.3286 0.0225
13 Te 0.5000 0.1099 0.5339
14 Te 0.5000 0.7797 0.0285
15 Te 0.7296 0.3286 0.0225
16 Te 0.7704 0.6714 0.5225

Most stable = *P*

*P*
The following is a DFT calculation (PBE-GGA) of crystalline LiBiTe3 at its relaxed geometry.

Computed properties:
Calculated volume (Å³ per cell): 211.95
SG: No. 221
Total moment (μB per formula unit): 0.000

Cell lengths 5.9622, 5.9622, 5.9622 Å; angles 90.00, 90.00, 90.00 degrees
Fractional positions:
1 Li 0.0000 0.0000 0.0000
2 Bi 0.5000 0.5000 0.5000
3 Te 0.0000 0.5000 0.5000
4 Te 0.5000 0.0000 0.5000
5 Te 0.5000 0.5000 0.0000

*Q*
The following is a DFT calculation (PBE-GGA) of crystalline LiBiTe3 at its relaxed geometry.

Computed properties:
Calculated volume (Å³ per cell): 137.00
SG: No. 221
Total moment (μB per formula unit): 0.000

Cell lengths 5.1551, 5.1551, 5.1551 Å; angles 90.00, 90.00, 90.00 degrees
Fractional positions:
1 Li 0.0000 0.0000 0.0000
2 Bi 0.5000 0.5000 0.5000
3 Te 0.0000 0.0000 0.5000
4 Te 0.0000 0.5000 0.0000
5 Te 0.5000 0.0000 0.0000

*R*
The following is a DFT calculation (PBE-GGA) of crystalline LiBiTe3 at its relaxed geometry.

Computed properties:
Calculated volume (Å³ per cell): 314.81
SG: No. 11
Total moment (μB per formula unit): 0.000

Cell lengths 8.7167, 4.3434, 9.1173 Å; angles 90.00, 114.22, 90.00 degrees
Fractional positions:
1 Li 0.0182 0.2500 0.3103
2 Li 0.9818 0.7500 0.6897
3 Bi 0.4976 0.2500 0.2515
4 Bi 0.5024 0.7500 0.7485
5 Te 0.2199 0.2500 0.6504
6 Te 0.2490 0.7500 0.3138
7 Te 0.2649 0.7500 0.0037
8 Te 0.7351 0.2500 0.9963
9 Te 0.7510 0.2500 0.6862
10 Te 0.7801 0.7500 0.3496

Most stable = *R*